First-principles (meta-GGA SCAN) data for LiRuPb2Cl at its PBEsol-relaxed geometry, as listed in Alexandria.

a b c (Å): 3.947 5.421 5.421
angles (deg): 90.00 90.00 90.00
Fractional coordinates of all 5 atoms:
1 Cl 0.000 0.000 0.000
2 Li 0.500 0.000 0.000
3 Ru 0.500 0.500 0.500
4 Pb 0.000 0.500 0.000
5 Pb 0.000 0.000 0.500

DOS(E_F) (states/eV/f.u.): 3.17
Calculated total energy (eV/atom): -38.920
Calculated volume (Å³ per cell): 116.0
Space group: P4/mmm, No. 123
E_form (uncorrected) (meV per atom): 431.3
Calculated density (g/cm³): 7.987